1.
# Sm2Dy2Y4Er

Crystalline Sm2Dy2Y4Er at its relaxed geometry (PBE, Alexandria via LeMat-Bulk).

```
9
Lattice="-2.495 -0.066 2.597 7.984 -0.660 5.156 -2.647 8.909 -2.316" Properties=species:S:1:pos:R:3 pbc="T T T"
Sm 2.607 2.448 5.064
Sm 0.236 5.735 0.372
Dy 4.499 -0.462 4.310
Dy -1.656 8.645 1.126
Y 1.232 5.480 3.820
Y 1.611 2.703 1.616
Y -1.874 2.896 0.771
Y 4.717 5.287 4.666
Er 0.000 0.000 0.000
```

Output
energy of formation from the pure elements	0.005	eV/atom
space group	C2/m

---

2.
# SrLi3

Crystalline SrLi3 at its relaxed geometry (PBE, Alexandria via LeMat-Bulk).

```
4
Lattice="5.011 0.000 0.000 0.000 5.011 0.000 0.000 0.000 5.011" Properties=species:S:1:pos:R:3 pbc="T T T"
Li 0.000 2.505 2.505
Li 2.505 0.000 2.505
Li 2.505 2.505 0.000
Sr 0.000 0.000 0.000
```

Output
energy of formation from the pure elements	0.120	eV/atom
space group	Pm-3m

---

3.
# Ca4YSi

Crystalline Ca4YSi at its relaxed geometry (PBE, Alexandria via LeMat-Bulk).

```
6
Lattice="0.612 -6.600 -0.224 -5.402 -3.816 -0.493 -1.255 -3.257 -5.639" Properties=species:S:1:pos:R:3 pbc="T T T"
Ca -1.959 -8.430 -2.494
Ca -2.894 -6.756 -5.206
Ca -4.971 -7.036 -2.629
Ca -2.266 -5.125 -2.382
Y 0.000 0.000 0.000
Si -4.534 -10.255 -4.767
```

Output
space group	F-43m
uncorrected formation energy	505	meV per atom

---

4.
# YSiP2

Crystalline YSiP2 at its relaxed geometry (PBE, Alexandria via LeMat-Bulk).

```
4
Lattice="5.086 -0.003 0.021 2.460 4.451 0.021 1.216 0.717 3.207" Properties=species:S:1:pos:R:3 pbc="T T T"
P 7.228 4.261 0.188
P 4.699 2.770 1.477
Si 6.572 3.874 2.436
Y 2.191 1.291 0.812
```

Output
space group	C2/m
uncorrected formation energy	-433	meV per atom

---

Number 1: calculated volume 32.296 Å³/atom. Number 2: calculated volume 31.451 Å³/atom. Number 3: calculated volume 34.379 Å³/atom. Number 4: calculated volume 18.117 Å³/atom.